[1]
The following is a PBE calculation of a geometry-optimized Sr3PdC structure, from the Alexandria database.

**Calculated formation energy**: 0.189 eV per atom
**Spin magnetization**: 0.00 μB per formula unit
**Energy relative to the lowest polymorph listed for this composition**: 0.0000 eV/atom

Cell lengths 5.3237, 5.3237, 5.3237 Å; angles 90.00, 90.00, 90.00 degrees
Last column: nearest neighbours and their distance in Å.
Element x y z (fractional)
1 Sr 0.0000 0.5000 0.0000  2 C 2.66
2 Sr 0.0000 0.0000 0.5000  2 C 2.66
3 Sr 0.5000 0.0000 0.0000  2 C 2.66
4 C 0.0000 0.0000 0.0000  6 Sr 2.66
5 Pd 0.5000 0.5000 0.5000  12 Sr 3.76

---

[2]
The following is a PBE calculation of a geometry-optimized ScAlTcPd structure, from the Alexandria database.

**Calculated formation energy**: -0.568 eV per atom
**Spin magnetization**: 0.00 μB per formula unit

Cell lengths 4.4623, 4.4623, 4.4623 Å; angles 60.00, 60.00, 60.00 degrees
Last column: nearest neighbours and their distance in Å.
Element x y z (fractional)
1 Sc 0.0000 0.0000 0.0000  4 Tc 2.73, 4 Pd 2.73
2 Tc 0.2500 0.2500 0.2500  4 Sc 2.73, 4 Al 2.73
3 Pd 0.7500 0.7500 0.7500  4 Al 2.73, 4 Sc 2.73
4 Al 0.5000 0.5000 0.5000  4 Tc 2.73, 4 Pd 2.73

---

[3]
The following is a PBE calculation of a geometry-optimized Mg3Cd structure, from the Alexandria database.

**Calculated formation energy**: -0.033 eV per atom
**Spin magnetization**: 0.00 μB per formula unit

Cell lengths 4.9909, 4.9909, 4.9909 Å; angles 60.00, 60.00, 60.00 degrees
Last column: nearest neighbours and their distance in Å.
Element x y z (fractional)
1 Mg 0.2500 0.2500 0.2500  4 Cd 3.06, 4 Mg 3.06
2 Mg 0.5000 0.5000 0.5000  8 Mg 3.06
3 Mg 0.7500 0.7500 0.7500  4 Cd 3.06, 4 Mg 3.06
4 Cd 0.0000 0.0000 0.0000  8 Mg 3.06

---

[4]
The following is a PBE calculation of a geometry-optimized Pa2TiGe4Ir3 structure, from the Alexandria database.

**Calculated formation energy**: -0.648 eV per atom
**Spin magnetization**: 0.00 μB per formula unit

Cell lengths 4.1205, 4.1205, 10.7851 Å; angles 90.00, 90.00, 90.00 degrees
Last column: nearest neighbours and their distance in Å.
Element x y z (fractional)
1 Pa 0.5000 0.0000 0.2428  6 Ir 3.15-3.46, 8 Ge 3.17-3.33, 2 Ti 3.46
2 Pa 0.0000 0.5000 0.7572  6 Ir 3.15-3.46, 8 Ge 3.17-3.33, 2 Ti 3.46
3 Ti 0.5000 0.5000 0.5000  4 Ge 2.57
4 Ge 0.5000 0.5000 0.0000  4 Ir 2.51
5 Ge 0.0000 0.0000 0.0000  4 Ir 2.51
6 Ge 0.5000 0.0000 0.6417  3 Ir 2.43-2.57, 2 Ti 2.57
7 Ge 0.0000 0.5000 0.3583  3 Ir 2.43-2.57, 2 Ti 2.57
8 Ir 0.0000 0.0000 0.5000  4 Ge 2.57
9 Ir 0.5000 0.0000 0.8671  5 Ge 2.43-2.51
10 Ir 0.0000 0.5000 0.1329  5 Ge 2.43-2.51